# 1
Crystalline FeAgOs2 at its relaxed geometry. Source: the Alexandria database, functional PBE.

The space group is Cm (No. 8) and the conventional cell measures 9.052, 2.727 and 4.814 Å, with angles of 90.00, 99.70 and 90.00 degrees. The asymmetric unit holds Fe at (0.000, 0.000, 0.000), Ag at (0.255, 0.500, 0.235), Os at (0.014, 0.500, 0.546) and Os at (0.257, 0.000, 0.734).

The density of states at the Fermi level is 3.320 states/eV/f.u. The offset from the most stable computed form is 0.149 eV per atom. Its total magnetization is 2.639 μB/f.u. The formation enthalpy at 0 K comes out at 0.50 eV per atom.



# 2
Crystalline YRe2I at its relaxed geometry. Source: the Alexandria database, functional PBE.

The space group is I-42d (No. 122) and the conventional cell measures 8.051, 8.051 and 5.454 Å, with angles of 90.00, 90.00 and 90.00 degrees. The asymmetric unit holds Y at (0.000, 0.000, 0.000), Re at (0.221, 0.250, 0.625) and I at (0.000, 0.000, 0.500).

The density of states at the Fermi level is 5.925 states/eV/f.u. The offset from the most stable computed form is 0.215 eV per atom. Its total magnetization is 0.001 μB/f.u. For the energy relative to the elements, uncorrected, the calculation gives 1.348 eV/atom.



# 3
Crystalline Si2IrAu at its relaxed geometry. Source: the Alexandria database, functional PBE.

The space group is P2/m (No. 10) and the conventional cell measures 3.433, 2.701 and 7.202 Å, with angles of 90.00, 90.10 and 90.00 degrees. The asymmetric unit holds Si at (0.001, 0.000, 0.190), Ir at (0.500, 0.500, 0.000) and Au at (0.000, 0.500, 0.500).

The density of states at the Fermi level is 0.617 states/eV/f.u. The offset from the most stable computed form is 0.061 eV per atom. Its total magnetization is 0.000 μB/f.u. For the energy relative to the elements, uncorrected, the calculation gives -0.150 eV/atom.



For each record above, in turn, the calculated E_tot values are -31.78 -27.52 -23.58 eV per formula unit.